A plane-wave DFT calculation with PBE was carried out for a relaxed structure of MoCl7.

Cell: 6.1072 6.1072 6.1072 Å, 60.00 60.00 60.00°
Element x y z (fractional)
Mo 0.0000 0.0000 0.0000
Cl 0.0000 0.0000 0.5000
Cl 0.0000 0.5000 0.0000
Cl 0.0000 0.5000 0.5000
Cl 0.5000 0.0000 0.0000
Cl 0.5000 0.0000 0.5000
Cl 0.5000 0.5000 0.0000
Cl 0.5000 0.5000 0.5000

Results
- Uncorrected formation energy: 715.9 meV/atom
- Space-group type: Fm-3m, No. 225
- Density of states at the Fermi level: 10.45 states/eV per cell